[1]
The following is a DFT calculation (PBE) of a geometry-optimized Cs2AcZr2O7 structure.

Geometry as POSCAR:
```
Cs2AcZr2O7
1.0
-2.099 2.099 12.380
2.099 -2.099 12.380
2.099 2.099 -12.380
Cs Ac Zr O
2 1 2 7
direct
0.193 0.193 0.000 Cs
0.807 0.807 0.000 Cs
0.000 0.000 0.000 Ac
0.410 0.410 0.000 Zr
0.590 0.590 0.000 Zr
0.073 0.573 0.500 O
0.330 0.330 0.000 O
0.427 0.927 0.500 O
0.500 0.500 0.000 O
0.573 0.073 0.500 O
0.670 0.670 0.000 O
0.927 0.427 0.500 O
```

Values from the calculation:
total moment = 0.084 μB/atom
space-group type = I4/mmm
total energy = -90.3 eV per cell
calculated volume = 218 Å³/f.u.
uncorrected formation energy = -32.71 eV/f.u.
ρ = 5993 kg/m³

=====

[2]
The following is a DFT calculation (PBE) of a geometry-optimized ZrCdW3 structure.

Geometry as POSCAR:
```
ZrCdW3
1.0
4.851 0.000 0.000
0.000 4.851 0.000
0.000 0.000 4.851
Zr Cd W
1 1 3
direct
0.000 0.000 0.000 Zr
0.500 0.500 0.500 Cd
0.000 0.000 0.500 W
0.000 0.500 0.000 W
0.500 0.000 0.000 W
```

Values from the calculation:
total moment = 0.000 μB/atom
space-group type = Pm-3m
total energy = -36.2 eV per cell
calculated volume = 114 Å³/f.u.
ρ = 10987 kg/m³
energy relative to the elements = 12.10 eV per formula unit
energy relative to the lowest polymorph listed for this composition = 0 meV/atom